Here is crystalline ThCo2SiGe2 at its relaxed geometry from Alexandria via LeMat-Bulk. Energies are from PBE.

POSCAR file:
```
ThCo2SiGe2
1.0
4.261 0.000 0.000
0.000 4.261 0.000
0.000 0.000 5.647
Th Co Si Ge
1 2 1 2
direct
0.000 0.000 0.000
0.000 0.500 0.500
0.500 0.000 0.500
0.000 0.000 0.500
0.500 0.500 0.243
0.500 0.500 0.757
```

## Properties
space-group type = No. 123
total energy = -6.3220 eV per atom
V = 17.09 Å³/atom
total magnetic moment = 0.000 μB/f.u.
raw formation energy = -0.274 eV per atom

=====

Here is crystalline TmCo2SiGe2 at its relaxed geometry from Alexandria via LeMat-Bulk. Energies are from PBE.

POSCAR file:
```
TmCo2SiGe2
1.0
4.247 0.000 0.000
0.000 4.247 0.000
0.000 0.000 5.378
Tm Co Si Ge
1 2 1 2
direct
0.000 0.000 0.000
0.000 0.500 0.500
0.500 0.000 0.500
0.000 0.000 0.500
0.500 0.500 0.237
0.500 0.500 0.763
```

## Properties
space-group type = No. 123
total energy = -5.7824 eV per atom
V = 16.16 Å³/atom
total magnetic moment = 0.000 μB/f.u.
raw formation energy = -0.226 eV per atom

=====

Here is crystalline U2Co4Si3Ge at its relaxed geometry from Alexandria via LeMat-Bulk. Energies are from PBE.

POSCAR file:
```
U2Co4Si3Ge
1.0
3.922 0.000 0.000
0.000 3.922 0.000
0.000 0.000 9.448
U Co Si Ge
2 4 3 1
direct
0.000 0.500 0.246
0.500 0.000 0.754
0.000 0.000 0.000
0.000 0.500 0.636
0.500 0.000 0.364
0.500 0.500 0.000
0.000 0.500 0.873
0.500 0.000 0.127
0.500 0.500 0.500
0.000 0.000 0.500
```

## Properties
space-group type = No. 115
total energy = -7.7236 eV per atom
V = 14.53 Å³/atom
total magnetic moment = 1.440 μB/f.u.
raw formation energy = -0.535 eV per atom

=====

Here is crystalline UCo3SiGe at its relaxed geometry from Alexandria via LeMat-Bulk. Energies are from PBE.

POSCAR file:
```
UCo3SiGe
1.0
2.588 -7.207 0.000
2.588 7.207 0.000
0.000 0.000 5.163
U Co Si Ge
2 6 2 2
direct
0.240 0.760 0.750
0.760 0.240 0.250
0.244 0.756 0.250
0.248 0.248 0.000
0.248 0.248 0.500
0.752 0.752 0.000
0.752 0.752 0.500
0.756 0.244 0.750
0.090 0.910 0.250
0.910 0.090 0.750
0.403 0.597 0.250
0.597 0.403 0.750
```

## Properties
space-group type = No. 63
total energy = -7.2752 eV per atom
V = 16.05 Å³/atom
total magnetic moment = 1.696 μB/f.u.
raw formation energy = -0.168 eV per atom

=====

Q: Look up the total magnetic moment of the first one.
A: 0.000 μB/f.u.